Entry 1:
Below is a crystal of CuBrO2 relaxed with PBEsol, with properties calculated at the SCAN level.

M_tot: 1.23 μB/cell
calculated volume: 50 Å³/cell
raw total energy: -12.0678 eV/atom
N(E_F): 0.49 states/eV/atom

```
CuBrO2
1.0
3.1426 0.0000 0.0000
1.5713 2.7216 0.0000
1.5713 0.9072 5.8404
Br Cu O
1 1 2
Direct
0.0000 0.0000 0.0000 Br
0.5000 0.5000 0.5000 Cu
0.8872 0.8872 0.3383 O
0.1128 0.1128 0.6617 O
```



Entry 2:
Below is a crystal of NaSe2F relaxed with PBEsol, with properties calculated at the SCAN level.

M_tot: 0.00 μB/cell
calculated volume: 73 Å³/cell
raw total energy: -12.1760 eV/atom
N(E_F): 0.51 states/eV/atom

```
NaSe2F
1.0
-2.7283 -1.2948 0.0453
-0.4073 -2.6134 1.4581
-3.1076 3.3123 8.1965
Na Se F
1 2 1
Direct
0.5000 0.5000 0.5000 Na
0.9219 0.9219 0.2344 Se
0.0781 0.0781 0.7656 Se
0.0000 0.0000 0.0000 F
```



Entry 3:
Below is a crystal of Mn3As relaxed with PBEsol, with properties calculated at the SCAN level.

M_tot: 1.80 μB/cell
energy relative to the elements: -43 meV per atom
calculated volume: 46 Å³/cell
raw total energy: -18.7825 eV/atom
N(E_F): 0.57 states/eV/atom

```
Mn3As
1.0
-0.6743 0.3883 -2.7560
2.3689 -1.4086 -0.7780
-2.8505 -4.8051 0.0205
As Mn
1 3
Direct
0.0000 0.0000 0.0000 As
0.5000 0.5000 0.7535 Mn
0.0000 0.0000 0.5000 Mn
0.5000 0.5000 0.2465 Mn
```